The following is a GGA-PBE calculation of crystalline Y2ScBeAl at its relaxed geometry, from Alexandria via LeMat-Bulk.

Output
E   -4.624 eV per atom

Structure (extended XYZ):
```
5
Lattice="5.4728 0.0000 0.0000 0.0000 5.4728 0.0000 0.0000 0.0000 5.0890" Properties=species:S:1:pos:R:3 pbc="T T T"
Y 0.0000 2.7364 0.0000
Y 2.7364 0.0000 0.0000
Sc 0.0000 0.0000 2.5445
Be 2.7364 2.7364 2.5445
Al 0.0000 0.0000 0.0000
```

The following is a GGA-PBE calculation of crystalline NaZn2GaCu at its relaxed geometry, from Alexandria via LeMat-Bulk.

Output
E   -2.108 eV per atom

Structure (extended XYZ):
```
5
Lattice="4.7123 0.0000 0.0000 0.0000 4.7123 0.0000 0.0000 0.0000 4.6487" Properties=species:S:1:pos:R:3 pbc="T T T"
Na 0.0000 0.0000 0.0000
Zn 0.0000 2.3562 2.3244
Zn 2.3562 0.0000 2.3244
Ga 2.3562 2.3562 0.0000
Cu 2.3562 2.3562 2.3244
```

The following is a GGA-PBE calculation of crystalline Ag2HgBr5 at its relaxed geometry, from Alexandria via LeMat-Bulk.

Output
Raw formation energy   -305 meV/atom

Structure (extended XYZ):
```
32
Lattice="11.5616 0.0000 0.0000 0.0000 12.4166 0.0000 0.0000 0.0000 8.3124" Properties=species:S:1:pos:R:3 pbc="T T T"
Ag 0.0000 0.0000 2.0461
Ag 0.0000 0.0000 6.2662
Ag 1.5947 4.8143 4.1562
Ag 4.1861 11.0226 0.0000
Ag 5.7808 6.2083 2.1100
Ag 5.7808 6.2083 6.2023
Ag 7.3755 1.3940 0.0000
Ag 9.9668 7.6023 4.1562
Hg 2.7002 3.2569 0.0000
Hg 3.0805 9.4652 4.1562
Hg 8.4810 2.9514 4.1562
Hg 8.8613 9.1597 0.0000
Br 1.1238 7.4613 4.1562
Br 1.4255 2.8140 2.2463
Br 1.4255 2.8140 6.0661
Br 1.5773 11.5709 0.0000
Br 1.6719 11.7653 4.1562
Br 4.1089 5.5569 0.0000
Br 4.2035 5.3626 4.1562
Br 4.3553 9.0223 1.9099
Br 4.3553 9.0223 6.4024
Br 4.6570 1.2530 0.0000
Br 6.9046 11.1637 0.0000
Br 7.2062 3.3943 1.9099
Br 7.2062 3.3943 6.4024
Br 7.3581 7.0541 4.1562
Br 7.4527 6.8597 0.0000
Br 9.8896 0.6514 4.1562
Br 9.9843 0.8457 0.0000
Br 10.1361 9.6027 2.2463
Br 10.1361 9.6027 6.0661
Br 10.4378 4.9553 4.1562
```

The following is a GGA-PBE calculation of crystalline CeTlPd14 at its relaxed geometry, from Alexandria via LeMat-Bulk.

Output
E   -5.320 eV per atom

Structure (extended XYZ):
```
16
Lattice="5.7802 0.0000 0.0000 0.0000 5.7802 0.0000 0.0000 0.0000 7.8652" Properties=species:S:1:pos:R:3 pbc="T T T"
Ce 0.0000 0.0000 0.0000
Tl 2.8901 2.8901 0.0000
Pd 0.0000 0.0000 3.9326
Pd 0.0000 2.8901 0.0000
Pd 0.0000 2.8901 3.9326
Pd 1.4392 1.4392 2.0152
Pd 1.4392 1.4392 5.8500
Pd 1.4392 4.3411 2.0152
Pd 1.4392 4.3411 5.8500
Pd 2.8901 0.0000 0.0000
Pd 2.8901 0.0000 3.9326
Pd 2.8901 2.8901 3.9326
Pd 4.3411 1.4392 2.0152
Pd 4.3411 1.4392 5.8500
Pd 4.3411 4.3411 2.0152
Pd 4.3411 4.3411 5.8500
```

The following total magnetic moment values (in μB/atom) correspond, in order, to the records above: 0.001; 0.000; 0.000; 0.000.